{"formula": "Ca2Ni3Ge2", "functional": "PBE", "state": "optimized geometry", "formation_energy_ev_per_atom": -0.505, "total_energy_ev_per_atom": -4.874, "e_above_lowest_polymorph_mev_per_atom": 0, "cell": [[4.0170, 0.0000, 0.0000], [0.0000, 7.0384, 0.0000], [0.0000, 0.0000, 9.0446]], "species": ["Ni", "Ni", "Ni", "Ni", "Ni", "Ni", "Ge", "Ge", "Ge", "Ge", "Ca", "Ca", "Ca", "Ca"], "fractional_positions": [[0.0000, 0.8455, 0.5737], [0.0000, 0.1545, 0.4263], [0.5000, 0.1851, 0.2500], [0.0000, 0.1545, 0.0737], [0.5000, 0.8149, 0.7500], [0.0000, 0.8455, 0.9263], [0.0000, 0.3996, 0.2500], [0.0000, 0.6004, 0.7500], [0.5000, 0.0000, 0.5000], [0.5000, 0.0000, 0.0000], [0.0000, 0.1697, 0.7500], [0.5000, 0.5000, 0.5000], [0.5000, 0.5000, 0.0000], [0.0000, 0.8303, 0.2500]]}